# CuReOs2

A relaxed structure of CuReOs2 (GGA-PBEsol, Alexandria via LeMat-Bulk).

crystal system = orthorhombic
volume = 14.0 Å³ per atom
electronic total energy = -10.007 eV/atom
ΔH_f (0 K) = 0.518 eV/atom

abc: 2.656 2.656 8.926
angles: 90.00 90.00 116.97
Fractional coordinates of all 4 atoms:
Cu  0.500  0.500  0.000
Os  0.000  0.000  0.248
Os  0.000  0.000  0.752
Re  0.500  0.500  0.500


# BeBiPt3

A relaxed structure of BeBiPt3 (GGA-PBEsol, Alexandria via LeMat-Bulk).

crystal system = tetragonal
volume = 16.0 Å³ per atom
electronic total energy = -6.254 eV/atom
ΔH_f (0 K) = -0.419 eV/atom

abc: 3.922 3.922 10.386
angles: 90.00 90.00 90.00
Fractional coordinates of all 10 atoms:
Be  0.000  0.500  0.503
Be  0.500  0.000  0.497
Bi  0.000  0.500  0.890
Bi  0.500  0.000  0.110
Pt  0.500  0.000  0.829
Pt  0.000  0.000  0.364
Pt  0.000  0.500  0.171
Pt  0.500  0.500  0.636
Pt  0.000  0.000  0.636
Pt  0.500  0.500  0.364


# MgSc2P

A relaxed structure of MgSc2P (GGA-PBEsol, Alexandria via LeMat-Bulk).

crystal system = orthorhombic
volume = 20.0 Å³ per atom
energy above the lowest structure with this stoichiometry = 0.397 eV per formula unit
electronic total energy = -5.711 eV/atom
ΔH_f (0 K) = -0.532 eV/atom

abc: 3.562 4.807 5.543
angles: 115.70 108.74 90.00
Fractional coordinates of all 4 atoms:
Mg  0.500  0.000  0.000
P  0.000  0.500  0.000
Sc  0.701  0.701  0.402
Sc  0.299  0.299  0.598


# YTaSi2As

A relaxed structure of YTaSi2As (GGA-PBEsol, Alexandria via LeMat-Bulk).

formation energy from raw total energies = 646 meV/atom
crystal system = tetragonal
volume = 21.8 Å³ per atom
electronic total energy = -6.548 eV/atom

abc: 4.717 4.803 4.803
angles: 90.00 90.00 90.00
Fractional coordinates of all 5 atoms:
Y  0.500  0.500  0.500
As  0.000  0.000  0.000
Si  0.000  0.000  0.500
Si  0.000  0.500  0.000
Ta  0.500  0.000  0.000


# Ca2CdSe2

A relaxed structure of Ca2CdSe2 (GGA-PBEsol, Alexandria via LeMat-Bulk).

formation energy from raw total energies = -1142 meV/atom
crystal system = tetragonal
volume = 31.8 Å³ per atom
energy above the lowest structure with this stoichiometry = 0.934 eV per formula unit
electronic total energy = -3.775 eV/atom

abc: 5.278 5.278 6.826
angles: 112.74 112.74 90.00
Fractional coordinates of all 5 atoms:
Ca  0.250  0.750  0.500
Ca  0.750  0.250  0.500
Se  0.339  0.339  0.678
Se  0.661  0.661  0.322
Cd  0.000  0.000  0.000


# ZrTlCl2

A relaxed structure of ZrTlCl2 (GGA-PBEsol, Alexandria via LeMat-Bulk).

formation energy from raw total energies = -569 meV/atom
crystal system = monoclinic
volume = 21.3 Å³ per atom
energy above the lowest structure with this stoichiometry = 1.597 eV per formula unit
electronic total energy = -4.503 eV/atom

abc: 3.277 5.546 5.662
angles: 118.75 105.94 91.74
Fractional coordinates of all 4 atoms:
Tl  0.000  0.000  0.000
Zr  0.500  0.500  0.000
Cl  0.000  0.000  0.500
Cl  0.500  0.500  0.500


# CdReS3

A relaxed structure of CdReS3 (GGA-PBEsol, Alexandria via LeMat-Bulk).

formation energy from raw total energies = 192 meV/atom
crystal system = cubic
volume = 19.8 Å³ per atom
electronic total energy = -5.344 eV/atom

abc: 4.625 4.625 4.625
angles: 90.00 90.00 90.00
Fractional coordinates of all 5 atoms:
Re  0.000  0.000  0.000
S  0.000  0.500  0.000
S  0.000  0.000  0.500
S  0.500  0.000  0.000
Cd  0.500  0.500  0.500


# LiNiP2

A relaxed structure of LiNiP2 (GGA-PBEsol, Alexandria via LeMat-Bulk).

crystal system = tetragonal
volume = 13.6 Å³ per atom
electronic total energy = -5.124 eV/atom
ΔH_f (0 K) = -0.197 eV/atom

abc: 4.658 5.361 5.361
angles: 79.12 64.25 64.25
Fractional coordinates of all 8 atoms:
Ni  0.750  0.500  0.500
Ni  0.000  0.000  0.000
Li  0.250  0.500  0.500
Li  0.500  0.000  0.000
P  0.064  0.061  0.561
P  0.686  0.939  0.439
P  0.375  0.561  0.939
P  0.875  0.439  0.061


Q: Which value of volume does entry 5 give?
A: 31.8 Å³ per atom